Entry 1:
Here is a relaxed SnHg2As crystal from the Alexandria database. Energies are from GGA-PBE.

Output
As for the energy above the most stable polymorph in this dataset: 17.2 kJ per mole of atoms. The calculation puts the density of states at the Fermi level at 0.654 states/eV per atom. For the calculated formation energy, the calculation gives 1.0 eV/f.u. Its theoretical density is 10.1 Mg/m³. As for the symmetry: Fm-3m (225). Its crystal system is cubic. As for the total magnetization: 0.000 μB/f.u.

a b c (Å): 5.170 5.170 5.170
angles (deg): 60.00 60.00 60.00
Sites, in units of the cell vectors:
Hg1 0.750 0.750 0.750
As1 0.000 0.000 0.000
Sn1 0.500 0.500 0.500
Hg2 0.250 0.250 0.250

***

Entry 2:
Here is a relaxed Sn2HgAs2 crystal from the Alexandria database. Energies are from GGA-PBE.

Output
As for the energy above the most stable polymorph in this dataset: 0.0 kJ per mole of atoms. The calculation puts the density of states at the Fermi level at 0.321 states/eV per atom. For the calculated formation energy, the calculation gives 0.1 eV/f.u. Its theoretical density is 7.3 Mg/m³. As for the symmetry: R-3m (166). Its crystal system is trigonal. As for the total magnetization: 0.000 μB/f.u.

a b c (Å): 4.086 4.086 9.520
angles (deg): 77.61 77.61 60.00
Sites, in units of the cell vectors:
As1 0.206 0.206 0.383
Hg1 0.000 0.000 0.000
Sn1 0.587 0.587 0.238
Sn2 0.413 0.413 0.762
As2 0.794 0.794 0.617

***

Entry 3:
Here is a relaxed SnHg2As crystal from the Alexandria database. Energies are from GGA-PBE.

Output
As for the energy above the most stable polymorph in this dataset: 19.4 kJ per mole of atoms. The calculation puts the density of states at the Fermi level at 0.712 states/eV per atom. For the calculated formation energy, the calculation gives 1.1 eV/f.u. Its theoretical density is 8.2 Mg/m³. As for the symmetry: I-42d (122). Its crystal system is tetragonal. As for the total magnetization: 0.000 μB/f.u.

a b c (Å): 7.097 7.097 6.951
angles (deg): 59.30 59.30 90.00
Sites, in units of the cell vectors:
As1 0.250 0.750 0.500
Sn1 0.750 0.250 0.500
Hg1 0.375 0.404 0.750
As2 0.500 0.500 0.000
Hg2 0.875 0.846 0.750
Sn2 0.000 0.000 0.000
Hg3 0.596 0.125 0.250
Hg4 0.154 0.625 0.250

***

Entry 4:
Here is a relaxed Sn2HgAs2 crystal from the Alexandria database. Energies are from GGA-PBE.

Output
As for the energy above the most stable polymorph in this dataset: 9.8 kJ per mole of atoms. The calculation puts the density of states at the Fermi level at 0.340 states/eV per atom. For the calculated formation energy, the calculation gives 0.6 eV/f.u. Its theoretical density is 7.8 Mg/m³. As for the symmetry: P4/mbm (127). Its crystal system is tetragonal. As for the total magnetization: 0.000 μB/f.u.

a b c (Å): 8.268 8.268 3.641
angles (deg): 90.00 90.00 90.00
Sites, in units of the cell vectors:
As1 0.641 0.859 0.500
Hg1 0.000 0.000 0.000
Sn1 0.147 0.353 0.000
Sn2 0.647 0.147 0.000
Hg2 0.500 0.500 0.000
As2 0.859 0.359 0.500
As3 0.141 0.641 0.500
Sn3 0.853 0.647 0.000
As4 0.359 0.141 0.500
Sn4 0.353 0.853 0.000

***

Taking the records one at a time from the top gives E_tot values of -0.076; -0.129; -0.075; -0.125 Ha/atom.